[1]
First-principles (GGA-PBE) data for a relaxed In12Bi3Sb5 crystal, as listed in Alexandria via LeMat-Bulk.

Output
Formation energy (no corrections)   0.086 eV per atom

Unit cell a=15.4873 b=15.4873 c=15.4873 alpha=109.47 beta=109.47 gamma=109.47
With the nearest neighbours (Å) after each atom.
Element x y z (fractional)
Bi 0.7500 0.3750 0.1250  8 In 3.24-3.28
Bi 0.8750 0.7500 0.1250  8 In 3.24-3.28
Bi 0.3750 0.7500 0.6250  8 In 3.24-3.28
Bi 0.2500 0.1250 0.3750  8 In 3.24-3.28
Bi 0.8750 0.1250 0.2500  8 In 3.24-3.28
Bi 0.3750 0.6250 0.2500  8 In 3.24-3.28
Bi 0.6250 0.3750 0.7500  8 In 3.24-3.28
Bi 0.1250 0.8750 0.7500  8 In 3.24-3.28
Bi 0.7500 0.8750 0.6250  8 In 3.24-3.28
Bi 0.6250 0.2500 0.3750  8 In 3.24-3.28
Bi 0.1250 0.2500 0.8750  8 In 3.24-3.28
Bi 0.2500 0.6250 0.8750  8 In 3.24-3.28
Sb 0.1250 0.3750 0.2500  4 In 2.93
Sb 0.0000 0.5000 0.0000  6 In 3.05
Sb 0.0000 0.0000 0.0000  6 In 3.05
Sb 0.3750 0.2500 0.1250  4 In 2.93
Sb 0.5000 0.0000 0.5000  6 In 3.05
Sb 0.5000 0.5000 0.0000  6 In 3.05
Sb 0.1250 0.7500 0.3750  4 In 2.93
Sb 0.7500 0.1250 0.8750  4 In 2.93
Sb 0.7500 0.6250 0.3750  4 In 2.93
Sb 0.3750 0.1250 0.7500  4 In 2.93
Sb 0.6250 0.8750 0.2500  4 In 2.93
Sb 0.5000 0.5000 0.5000  6 In 3.05
Sb 0.5000 0.0000 0.0000  6 In 3.05
Sb 0.0000 0.0000 0.5000  6 In 3.05
Sb 0.2500 0.3750 0.6250  4 In 2.93
Sb 0.2500 0.8750 0.1250  4 In 2.93
Sb 0.0000 0.5000 0.5000  6 In 3.05
Sb 0.8750 0.2500 0.6250  4 In 2.93
Sb 0.6250 0.7500 0.8750  4 In 2.93
Sb 0.8750 0.6250 0.7500  4 In 2.93
In 0.7262 0.1407 0.0584  2 Sb 2.93-3.05, 2 Bi 3.24-3.28
In 0.3322 0.5584 0.4177  2 Sb 2.93-3.05, 2 Bi 3.24-3.28
In 0.9416 0.3593 0.2738  2 Sb 2.93-3.05, 2 Bi 3.24-3.28
In 0.5584 0.2262 0.1407  2 Sb 2.93-3.05, 2 Bi 3.24-3.28
In 0.5855 0.7262 0.6678  2 Sb 2.93-3.05, 2 Bi 3.24-3.28
In 0.9416 0.5823 0.1678  2 Sb 2.93-3.05, 2 Bi 3.24-3.28
In 0.3322 0.7738 0.4145  2 Sb 2.93-3.05, 2 Bi 3.24-3.28
In 0.0823 0.9145 0.1407  2 Sb 2.93-3.05, 2 Bi 3.24-3.28
In 0.5823 0.9416 0.6678  2 Sb 2.93-3.05, 2 Bi 3.24-3.28
In 0.7262 0.5855 0.1678  2 Sb 2.93-3.05, 2 Bi 3.24-3.28
In 0.7738 0.4416 0.3593  2 Sb 2.93-3.05, 2 Bi 3.24-3.28
In 0.8322 0.9177 0.0584  2 Sb 2.93-3.05, 2 Bi 3.24-3.28
In 0.1407 0.7262 0.5584  2 Sb 2.93-3.05, 2 Bi 3.24-3.28
In 0.3593 0.4177 0.0855  2 Sb 2.93-3.05, 2 Bi 3.24-3.28
In 0.0855 0.9177 0.3593  2 Sb 2.93-3.05, 2 Bi 3.24-3.28
In 0.4145 0.1407 0.5823  2 Sb 2.93-3.05, 2 Bi 3.24-3.28
In 0.0855 0.1678 0.2262  2 Sb 2.93-3.05, 2 Bi 3.24-3.28
In 0.4416 0.6678 0.0823  2 Sb 2.93-3.05, 2 Bi 3.24-3.28
In 0.8322 0.9145 0.2738  2 Sb 2.93-3.05, 2 Bi 3.24-3.28
In 0.1407 0.4145 0.0823  2 Sb 2.93-3.05, 2 Bi 3.24-3.28
In 0.3593 0.9416 0.7738  2 Sb 2.93-3.05, 2 Bi 3.24-3.28
In 0.5823 0.6407 0.4145  2 Sb 2.93-3.05, 2 Bi 3.24-3.28
In 0.9177 0.8322 0.5584  2 Sb 2.93-3.05, 2 Bi 3.24-3.28
In 0.7738 0.3322 0.9145  2 Sb 2.93-3.05, 2 Bi 3.24-3.28
In 0.4177 0.3593 0.5855  2 Sb 2.93-3.05, 2 Bi 3.24-3.28
In 0.0823 0.1678 0.4416  2 Sb 2.93-3.05, 2 Bi 3.24-3.28
In 0.2262 0.6678 0.0855  2 Sb 2.93-3.05, 2 Bi 3.24-3.28
In 0.1678 0.0855 0.7262  2 Sb 2.93-3.05, 2 Bi 3.24-3.28
In 0.6407 0.0584 0.2262  2 Sb 2.93-3.05, 2 Bi 3.24-3.28
In 0.8593 0.5855 0.9177  2 Sb 2.93-3.05, 2 Bi 3.24-3.28
In 0.5584 0.3322 0.9177  2 Sb 2.93-3.05, 2 Bi 3.24-3.28
In 0.5855 0.8593 0.4177  2 Sb 2.93-3.05, 2 Bi 3.24-3.28
In 0.9145 0.8322 0.7738  2 Sb 2.93-3.05, 2 Bi 3.24-3.28
In 0.9145 0.0823 0.6407  2 Sb 2.93-3.05, 2 Bi 3.24-3.28
In 0.8593 0.2738 0.4416  2 Sb 2.93-3.05, 2 Bi 3.24-3.28
In 0.1678 0.0823 0.9416  2 Sb 2.93-3.05, 2 Bi 3.24-3.28
In 0.6407 0.5823 0.9145  2 Sb 2.93-3.05, 2 Bi 3.24-3.28
In 0.4177 0.0584 0.3322  2 Sb 2.93-3.05, 2 Bi 3.24-3.28
In 0.2738 0.4145 0.8322  2 Sb 2.93-3.05, 2 Bi 3.24-3.28
In 0.2262 0.5584 0.6407  2 Sb 2.93-3.05, 2 Bi 3.24-3.28
In 0.9177 0.0855 0.8593  2 Sb 2.93-3.05, 2 Bi 3.24-3.28
In 0.6678 0.2262 0.5855  2 Sb 2.93-3.05, 2 Bi 3.24-3.28
In 0.4416 0.7738 0.8593  2 Sb 2.93-3.05, 2 Bi 3.24-3.28
In 0.0584 0.4177 0.8322  2 Sb 2.93-3.05, 2 Bi 3.24-3.28
In 0.4145 0.2738 0.3322  2 Sb 2.93-3.05, 2 Bi 3.24-3.28
In 0.0584 0.6407 0.7262  2 Sb 2.93-3.05, 2 Bi 3.24-3.28
In 0.6678 0.4416 0.5823  2 Sb 2.93-3.05, 2 Bi 3.24-3.28
In 0.2738 0.8593 0.9416  2 Sb 2.93-3.05, 2 Bi 3.24-3.28

***

[2]
First-principles (GGA-PBE) data for a relaxed Tc5Cl crystal, as listed in Alexandria via LeMat-Bulk.

Output
Formation energy (no corrections)   0.359 eV per atom

Unit cell a=7.4770 b=7.4770 c=4.3478 alpha=90.00 beta=90.00 gamma=158.21
With the nearest neighbours (Å) after each atom.
Element x y z (fractional)
Tc 0.3275 0.6725 0.0000  10 Tc 2.63-2.83
Tc 0.6736 0.3264 0.0000  10 Tc 2.60-2.83, 2 Cl 2.62
Tc 0.4285 0.5715 0.5000  6 Tc 2.63-2.83, 4 Cl 2.94
Tc 0.7713 0.2287 0.5000  12 Tc 2.60-2.83
Tc 0.1091 0.8909 0.5000  2 Cl 2.51, 6 Tc 2.76-2.77
Cl 0.0233 0.9767 0.0000  4 Tc 2.51-2.62

***

[3]
First-principles (GGA-PBE) data for a relaxed TcPb8 crystal, as listed in Alexandria via LeMat-Bulk.

Output
E_form   0.260 eV per atom

Unit cell a=7.6502 b=7.6502 c=7.6502 alpha=95.87 beta=95.87 gamma=142.71
With the nearest neighbours (Å) after each atom.
Element x y z (fractional)
Tc 0.0000 0.0000 0.0000  12 Pb 3.17-3.31
Pb 0.3462 0.6538 0.0000  6 Pb 3.15-3.32, 2 Tc 3.31
Pb 0.6538 0.3462 0.0000  6 Pb 3.15-3.32, 2 Tc 3.31
Pb 0.0000 0.3091 0.3091  1 Tc 3.17, 4 Pb 3.32
Pb 0.6538 0.6538 0.3076  6 Pb 3.15-3.32, 2 Tc 3.31
Pb 0.3091 0.0000 0.3091  1 Tc 3.17, 4 Pb 3.32
Pb 0.3462 0.3462 0.6924  6 Pb 3.15-3.32, 2 Tc 3.31
Pb 0.0000 0.6909 0.6909  1 Tc 3.17, 4 Pb 3.32
Pb 0.6909 0.0000 0.6909  1 Tc 3.17, 4 Pb 3.32

***

[4]
First-principles (GGA-PBE) data for a relaxed Zn2CuBr crystal, as listed in Alexandria via LeMat-Bulk.

Output
ΔE to the lowest computed polymorph   237 meV per atom
Formation energy (no corrections)   0.191 eV per atom

Unit cell a=6.1659 b=4.9854 c=3.4862 alpha=90.13 beta=55.31 gamma=114.80
With the nearest neighbours (Å) after each atom.
Element x y z (fractional)
Br 0.0000 0.5000 0.5000  2 Cu 2.53
Cu 0.5000 0.5000 0.0000  2 Br 2.53
Zn 0.0000 0.0000 0.0000  2 Zn 2.53
Zn 0.5000 0.0000 0.5000  2 Zn 2.53